{
  "formula": "MgTeBr2",
  "functional": "PBE",
  "state": "optimized geometry",
  "cell": [[0.0000, 3.8063, 3.8063], [3.8063, 0.0000, 3.8063], [3.8063, 3.8063, 0.0000]],
  "species": ["Mg", "Te", "Br", "Br"],
  "fractional_positions": [[0.0000, 0.0000, 0.0000], [0.5000, 0.5000, 0.5000], [0.2500, 0.2500, 0.2500], [0.7500, 0.7500, 0.7500]],
  "magnetic_moment_mub_per_fu": 1.85,
  "e_above_lowest_polymorph_ev_per_atom": 0.8169,
  "volume_a3_per_cell": 110,
  "space_group": "Fm-3m (225)"
}

=====

{
  "formula": "Mg2TeBr",
  "functional": "PBE",
  "state": "optimized geometry",
  "cell": [[0.0000, 3.6555, 3.6555], [3.6555, 0.0000, 3.6555], [3.6555, 3.6555, 0.0000]],
  "species": ["Mg", "Mg", "Te", "Br"],
  "fractional_positions": [[0.2500, 0.2500, 0.2500], [0.7500, 0.7500, 0.7500], [0.0000, 0.0000, 0.0000], [0.5000, 0.5000, 0.5000]],
  "magnetic_moment_mub_per_fu": 0.00,
  "e_above_lowest_polymorph_ev_per_atom": 0.1610,
  "volume_a3_per_cell": 98,
  "space_group": "Fm-3m (225)"
}